First-principles (GGA-PBE) data for crystalline Rb2AgS2 at its relaxed geometry, as listed in Alexandria.

```
5
Lattice="-3.274 3.274 5.723 3.274 -3.274 5.723 3.274 3.274 -5.723" Properties=species:S:1:pos:R:3 pbc="T T T"
Rb 3.274 0.000 2.861
Rb 0.000 3.274 2.861
Ag 0.000 0.000 0.000
S 0.000 0.000 2.298
S 0.000 0.000 9.147
```

Summary:
spin magnetization	1.0	μB per formula unit
E	-3.17	eV per atom
formation energy without anion corrections	-0.56	eV/atom
relative energy among the computed polymorphs	0.33	eV per formula unit
space group	I4/mmm (139)

First-principles (GGA-PBE) data for crystalline Rb3AgS at its relaxed geometry, as listed in Alexandria.

```
5
Lattice="6.362 0.000 0.000 0.000 6.362 0.000 0.000 0.000 6.362" Properties=species:S:1:pos:R:3 pbc="T T T"
Rb 0.000 0.000 3.181
Rb 0.000 3.181 0.000
Rb 3.181 0.000 0.000
Ag 3.181 3.181 3.181
S 0.000 0.000 0.000
```

Summary:
spin magnetization	0.0	μB per formula unit
E	-2.46	eV per atom
formation energy without anion corrections	-0.49	eV/atom
relative energy among the computed polymorphs	0.00	eV per formula unit
space group	Pm-3m (221)

First-principles (GGA-PBE) data for crystalline RbAg12S6 at its relaxed geometry, as listed in Alexandria.

```
19
Lattice="5.642 3.257 3.796 -5.642 3.257 3.796 0.000 -6.514 3.796" Properties=species:S:1:pos:R:3 pbc="T T T"
Rb 0.000 0.000 0.000
Ag -1.511 -0.873 3.715
Ag -1.791 -3.102 5.694
Ag -3.582 0.000 5.694
Ag 1.511 -0.873 3.715
Ag 0.000 1.745 3.715
Ag 1.791 -3.102 5.694
Ag -1.791 3.102 5.694
Ag 0.000 -1.745 7.674
Ag -1.511 0.873 7.674
Ag 3.582 0.000 5.694
Ag 1.791 3.102 5.694
Ag 1.511 0.873 7.674
S 0.000 -2.823 3.718
S -2.445 1.412 3.718
S -2.445 -1.412 7.671
S 2.445 1.412 3.718
S 2.445 -1.412 7.671
S 0.000 2.823 7.671
```

Summary:
spin magnetization	0.0	μB per formula unit
E	-3.26	eV per atom
formation energy without anion corrections	-0.11	eV/atom
space group	R-3m (166)

First-principles (GGA-PBE) data for crystalline Rb2Ag4S3 at its relaxed geometry, as listed in Alexandria.

```
18
Lattice="9.139 -2.164 0.000 9.139 2.164 0.000 -3.801 0.000 11.338" Properties=species:S:1:pos:R:3 pbc="T T T"
Rb 1.788 0.000 3.865
Rb 5.112 0.000 1.790
Rb 9.364 0.000 9.548
Rb 12.688 0.000 7.473
Ag -0.658 0.000 6.625
Ag 1.586 0.000 0.085
Ag 5.481 0.000 9.837
Ag 6.526 0.000 7.079
Ag 7.950 0.000 4.258
Ag 8.995 0.000 1.501
Ag 12.890 0.000 11.253
Ag 15.134 0.000 4.713
S -2.348 0.000 8.771
S 2.951 0.000 10.126
S 4.848 0.000 5.199
S 9.628 0.000 6.139
S 11.525 0.000 1.212
S 16.825 0.000 2.567
```

Summary:
spin magnetization	0.0	μB per formula unit
E	-3.33	eV per atom
formation energy without anion corrections	-0.47	eV/atom
space group	C2/m (12)

First-principles (GGA-PBE) data for crystalline RbAgS3 at its relaxed geometry, as listed in Alexandria.

```
5
Lattice="5.908 0.000 0.000 0.000 5.908 0.000 0.000 0.000 5.908" Properties=species:S:1:pos:R:3 pbc="T T T"
Rb 0.000 0.000 0.000
Ag 2.954 2.954 2.954
S 0.000 0.000 2.954
S 0.000 2.954 0.000
S 2.954 0.000 0.000
```

Summary:
spin magnetization	4.0	μB per formula unit
E	-1.95	eV per atom
formation energy without anion corrections	1.29	eV/atom
space group	Pm-3m (221)

First-principles (GGA-PBE) data for crystalline Rb3AgS2 at its relaxed geometry, as listed in Alexandria.

```
12
Lattice="-3.686 6.975 4.330 3.686 -6.975 4.330 3.686 6.975 -4.330" Properties=species:S:1:pos:R:3 pbc="T T T"
Rb 3.686 -3.195 2.165
Rb 0.000 0.000 2.165
Rb 3.686 3.195 2.165
Rb 0.000 3.779 2.165
Rb 0.000 0.000 6.495
Rb 0.000 10.170 2.165
Ag 3.686 0.000 0.000
Ag 0.000 6.975 0.000
S 5.469 1.639 0.000
S 1.783 5.336 0.000
S 1.903 1.639 4.330
S -1.783 5.336 4.330
```

Summary:
spin magnetization	0.0	μB per formula unit
E	-3.16	eV per atom
formation energy without anion corrections	-0.83	eV/atom
relative energy among the computed polymorphs	0.17	eV per formula unit
space group	Ibam (72)